VASP calculation (PBE-GGA) on LiMg2Tc after structural relaxation.

Cell: 2.8637 3.7957 6.3425 Å, 90.00 90.00 90.00°
With the nearest neighbours (Å) after each atom.
Element x y z (fractional)
1 Li 0.5000 0.5000 0.7500  2 Li 2.86, 8 Mg 2.91, 2 Tc 3.17
2 Mg 0.0000 0.0000 0.0133  4 Tc 2.81, 3 Mg 2.86-3.00, 4 Li 2.91
3 Mg 0.0000 0.0000 0.4867  4 Tc 2.81, 3 Mg 2.86-3.00, 4 Li 2.91
4 Tc 0.5000 0.5000 0.2500  8 Mg 2.81, 2 Tc 2.86

## Properties
space-group type: Pmmm (47)
formation energy: 0.2103 eV per atom
excess energy over the best structure of this formula in the dataset: 51 meV per atom
Fermi-level density of states: 0.67 states/eV per atom
volume: 17.2 Å³/atom


VASP calculation (PBE-GGA) on Al3RuBr after structural relaxation.

Cell: 4.8128 4.8128 4.8128 Å, 90.00 90.00 90.00°
With the nearest neighbours (Å) after each atom.
Element x y z (fractional)
1 Ru 0.0000 0.0000 0.0000  6 Al 2.41
2 Al 0.0000 0.5000 0.0000  2 Ru 2.41
3 Al 0.0000 0.0000 0.5000  2 Ru 2.41
4 Al 0.5000 0.0000 0.0000  2 Ru 2.41
5 Br 0.5000 0.5000 0.5000  12 Al 3.40

## Properties
space-group type: Pm-3m (221)
excess energy over the best structure of this formula in the dataset: 0 meV per atom
Fermi-level density of states: 0.38 states/eV per atom
volume: 22.3 Å³/atom


VASP calculation (PBE-GGA) on In2IrO6 after structural relaxation.

Cell: 4.8097 4.8097 9.9352 Å, 90.00 90.00 90.00°
With the nearest neighbours (Å) after each atom.
Element x y z (fractional)
1 In 0.0000 0.0000 0.3326  6 O 2.14-2.24
2 In 0.5000 0.5000 0.8326  6 O 2.14-2.24
3 In 0.5000 0.5000 0.1674  6 O 2.14-2.24
4 In 0.0000 0.0000 0.6674  6 O 2.14-2.24
5 Ir 0.0000 0.0000 0.0000  6 O 1.90-1.97
6 Ir 0.5000 0.5000 0.5000  6 O 1.90-1.97
7 O 0.3140 0.3140 0.3477  1 Ir 1.97, 2 In 2.14-2.19
8 O 0.6860 0.6860 0.3477  1 Ir 1.97, 2 In 2.14-2.19
9 O 0.1860 0.8140 0.8477  1 Ir 1.97, 2 In 2.14-2.19
10 O 0.8140 0.1860 0.8477  1 Ir 1.97, 2 In 2.14-2.19
11 O 0.1860 0.8140 0.1523  1 Ir 1.97, 2 In 2.14-2.19
12 O 0.8140 0.1860 0.1523  1 Ir 1.97, 2 In 2.14-2.19
13 O 0.3140 0.3140 0.6523  1 Ir 1.97, 2 In 2.14-2.19
14 O 0.6860 0.6860 0.6523  1 Ir 1.97, 2 In 2.14-2.19
15 O 0.2800 0.2800 0.0000  1 Ir 1.90
16 O 0.7200 0.7200 0.0000  1 Ir 1.90
17 O 0.2200 0.7800 0.5000  1 Ir 1.90
18 O 0.7800 0.2200 0.5000  1 Ir 1.90

## Properties
space-group type: P4_2/mnm (136)
excess energy over the best structure of this formula in the dataset: 0 meV per atom
Fermi-level density of states: 0.53 states/eV per atom
volume: 12.8 Å³/atom


VASP calculation (PBE-GGA) on Li2YSi2 after structural relaxation.

Cell: 3.9963 3.9963 6.3057 Å, 71.53 71.53 90.00°
With the nearest neighbours (Å) after each atom.
Element x y z (fractional)
1 Y 0.0000 0.0000 0.0000  8 Si 3.06
2 Si 0.3968 0.3968 0.2063  1 Si 2.33, 4 Li 2.59
3 Si 0.6032 0.6032 0.7937  1 Si 2.33, 4 Li 2.59
4 Li 0.7500 0.2500 0.5000  4 Si 2.59, 4 Li 2.83
5 Li 0.2500 0.7500 0.5000  4 Si 2.59, 4 Li 2.83

## Properties
space-group type: I4/mmm (139)
excess energy over the best structure of this formula in the dataset: 0 meV per atom
Fermi-level density of states: 0.26 states/eV per atom
volume: 18.0 Å³/atom